[1]
{
  "formula": "PuU6",
  "functional": "PBE-GGA",
  "state": "relaxed",
  "m_tot_mub_per_cell": 2.84,
  "space_group": "Im-3m",
  "energy_ry_per_atom": -0.7935,
  "cell": [[6.175, 0.000, 0.000], [-2.058, 5.822, 0.000], [-2.058, -2.911, 5.042]],
  "species": ["Pu", "U", "U", "U", "U", "U", "U"],
  "frac_coords": [[0.000, 0.000, 0.000], [0.250, 0.750, 0.500], [0.250, 0.500, 0.750], [0.500, 0.750, 0.250], [0.750, 0.250, 0.500], [0.750, 0.500, 0.250], [0.500, 0.250, 0.750]]
}

[2]
{
  "formula": "Pu3U",
  "functional": "PBE-GGA",
  "state": "relaxed",
  "m_tot_mub_per_cell": 0.18,
  "e_above_lowest_polymorph_ev_per_fu": 0.00,
  "space_group": "Pmm2",
  "cell": [[-1.229, -3.034, -0.423], [3.264, -1.305, -0.123], [-0.093, -0.805, 6.048]],
  "species": ["Pu", "U", "Pu", "Pu"],
  "frac_coords": [[0.500, 0.000, 0.656], [0.000, 0.000, 0.004], [0.500, 0.500, 0.177], [0.000, 0.500, 0.496]]
}

[3]
{
  "formula": "Pu3U",
  "functional": "PBE-GGA",
  "state": "relaxed",
  "m_tot_mub_per_cell": 14.60,
  "e_above_lowest_polymorph_ev_per_fu": 0.03,
  "space_group": "Immm",
  "cell": [[3.056, 0.000, 0.000], [0.000, 5.369, 0.000], [-1.528, -2.685, 5.560]],
  "species": ["Pu", "U", "Pu", "Pu"],
  "frac_coords": [[0.723, 0.139, 0.445], [0.000, 0.917, 0.000], [0.500, 0.417, 0.000], [0.277, 0.694, 0.555]]
}

[4]
{
  "formula": "PuU",
  "functional": "PBE-GGA",
  "state": "relaxed",
  "m_tot_mub_per_cell": 0.00,
  "e_above_lowest_polymorph_ev_per_fu": 0.00,
  "space_group": "C2/m",
  "cell": [[-2.672, -3.694, -0.705], [1.896, 0.956, 2.902], [-4.769, 2.804, 3.384]],
  "species": ["U", "U", "Pu", "Pu"],
  "frac_coords": [[0.247, 0.494, 0.180], [0.753, 0.506, 0.820], [0.617, 0.234, 0.329], [0.383, 0.766, 0.671]]
}

[5]
{
  "formula": "Pu5U",
  "functional": "PBE-GGA",
  "state": "relaxed",
  "m_tot_mub_per_cell": 4.41,
  "space_group": "Cmmm",
  "energy_ry_per_atom": -1.0029,
  "cell": [[4.030, 0.000, 0.000], [0.000, 4.733, 0.000], [0.000, -2.367, 6.844]],
  "species": ["Pu", "Pu", "Pu", "Pu", "Pu", "U"],
  "frac_coords": [[0.000, 0.333, 0.667], [0.000, 0.667, 0.333], [0.500, 0.161, 0.323], [0.500, 0.500, 0.000], [0.500, 0.839, 0.677], [0.000, 0.000, 0.000]]
}

[6]
{
  "formula": "PuU4",
  "functional": "PBE-GGA",
  "state": "relaxed",
  "m_tot_mub_per_cell": 3.43,
  "space_group": "Pm-3m",
  "energy_ry_per_atom": -0.8516,
  "cell": [[-3.170, 3.608, -0.916], [-2.703, -3.059, -2.691], [-2.559, -1.238, 3.978]],
  "species": ["U", "U", "U", "U", "Pu"],
  "frac_coords": [[0.500, 0.000, 0.500], [0.000, 0.000, 0.000], [0.500, 0.500, 0.000], [0.000, 0.500, 0.500], [0.500, 0.500, 0.500]]
}